Compound: CrAs2BrO
Source: Alexandria via LeMat-Bulk
Functional: PBE with a Hubbard U
Structure: optimized geometry

The value obtained for the energy relative to the lowest polymorph listed for this composition is 754 meV per atom. Its space group is P4/mmm. The uncorrected energy comes out at -3.781 eV/atom.

Cell and atoms, written as POSCAR:
```
CrAs2BrO
1.0
4.8368 0.0000 0.0000
0.0000 4.8368 0.0000
0.0000 0.0000 5.0269
Cr As Br O
1 2 1 1
Direct
0.0000 0.0000 0.0000
0.0000 0.5000 0.0000
0.5000 0.0000 0.0000
0.0000 0.0000 0.5000
0.5000 0.5000 0.5000
```